Entry from Alexandria: NpTl2Co3F12 after structural relaxation (GGA+U).

Structure (POSCAR):
```
NpTl2Co3F12
1.0
-5.7369 -3.9906 -0.9533
1.2272 -6.1840 -3.1621
-0.4117 -5.6023 4.2651
Np Tl Co F
1 2 3 12
Cartesian
0.0000 0.0000 0.0000 Np
-3.0039 -9.6299 0.0914 Tl
-1.9175 -6.1470 0.0583 Tl
-2.8685 -1.9953 -0.4767 Co
0.6136 -3.0920 -1.5811 Co
-0.2058 -2.8011 2.1326 Co
-1.5444 -7.6803 2.7571 F
-4.0900 -10.9888 -1.9834 F
-1.4505 -11.7876 0.6031 F
-4.9381 -6.6532 -0.5686 F
-4.9023 -10.7005 1.6979 F
-0.5000 -8.0510 -1.9762 F
-3.3770 -8.0966 -2.6074 F
-0.8314 -4.7880 2.1331 F
-3.4709 -3.9892 -0.4534 F
0.0167 -9.1237 0.7182 F
-0.0191 -5.0763 -1.5482 F
-4.4214 -7.7259 2.1259 F
```

Results
The value obtained for the total energy is -5.4626 eV per atom. The space group is R-3m (166). The density of states at the Fermi level comes out at 11.7 states/eV per cell.